Record 1
Compound: BaSc2Br
Source: Alexandria via LeMat-Bulk
Functional: PBE
Structure: optimized geometry

## Properties
Formation energy (no corrections) = -33 kJ/mol of atoms
Fermi-level density of states = 6.966 states/eV per cell
ΔE to the lowest computed polymorph = 45.5 meV per atom
V = 122.19 Å³/f.u.

Unit cell a=3.591 b=3.591 c=9.477 alpha=90.00 beta=90.00 gamma=90.10
Site moments in Bohr magnetons follow the coordinates.
Fractional positions:
Ba 0.000 0.000 0.518  0.04
Br 0.500 0.500 0.784  0.00
Sc 0.000 0.000 0.995  0.13
Sc 0.500 0.500 0.203  0.15

---

Record 2
Compound: CoBiTe3
Source: Alexandria via LeMat-Bulk
Functional: PBE
Structure: optimized geometry

## Properties
Formation energy (no corrections) = 116 kJ/mol of atoms
Fermi-level density of states = 11.954 states/eV per cell
ΔE to the lowest computed polymorph = 947.3 meV per atom
V = 203.31 Å³/f.u.

Unit cell a=5.880 b=5.880 c=5.880 alpha=90.00 beta=90.00 gamma=90.00
Site moments in Bohr magnetons follow the coordinates.
Fractional positions:
Te 0.000 0.500 0.000  0.10
Te 0.000 0.000 0.500  0.06
Te 0.500 0.000 0.000  0.07
Co 0.500 0.500 0.500  2.34
Bi 0.000 0.000 0.000  0.00

---

Record 3
Compound: VAsRu2
Source: Alexandria via LeMat-Bulk
Functional: PBE
Structure: optimized geometry

## Properties
Fermi-level density of states = 3.156 states/eV per cell
Formation enthalpy at 0 K = -7 meV/atom
V = 66.96 Å³/f.u.

Unit cell a=3.907 b=3.907 c=5.066 alpha=90.00 beta=90.00 gamma=120.00
Fractional positions:
V 0.333 0.667 0.960
As 0.667 0.333 0.667
Ru 0.667 0.333 0.157
Ru 0.333 0.667 0.466

---

Record 4
Compound: SiTeI2N
Source: Alexandria via LeMat-Bulk
Functional: PBE
Structure: optimized geometry

## Properties
Formation energy (no corrections) = 37 kJ/mol of atoms
Fermi-level density of states = 4.371 states/eV per cell
ΔE to the lowest computed polymorph = 0.0 meV per atom
V = 132.59 Å³/f.u.

Unit cell a=6.393 b=3.244 c=6.393 alpha=90.00 beta=90.00 gamma=90.00
Site moments in Bohr magnetons follow the coordinates.
Fractional positions:
I 0.000 0.000 0.500  0.02
I 0.500 0.000 0.000  0.03
Si 0.000 0.000 0.000  0.00
Te 0.500 0.500 0.500  0.13
N 0.000 0.500 0.000  0.00

---

Record 5
Compound: KPRh2
Source: Alexandria via LeMat-Bulk
Functional: PBE
Structure: optimized geometry

## Properties
Fermi-level density of states = 1.476 states/eV per cell
Formation enthalpy at 0 K = -43 meV/atom
V = 78.73 Å³/f.u.

Unit cell a=3.383 b=3.012 c=7.905 alpha=77.77 beta=90.00 gamma=90.00
Fractional positions:
K 0.500 0.250 0.250
P 0.500 0.750 0.750
Rh 0.000 0.937 0.908
Rh 0.000 0.563 0.592

---

Record 6
Compound: NaBiTe2
Source: Alexandria via LeMat-Bulk
Functional: PBE
Structure: optimized geometry

## Properties
Formation energy (no corrections) = -42 kJ/mol of atoms
Fermi-level density of states = 1.229 states/eV per cell
V = 129.57 Å³/f.u.

Unit cell a=4.553 b=4.553 c=6.249 alpha=90.00 beta=90.00 gamma=90.00
Fractional positions:
Na 0.000 0.000 0.000
Bi 0.500 0.500 0.500
Te 0.000 0.000 0.500
Te 0.500 0.500 0.000

---

Copy entry 6 word for word.
Compound: NaBiTe2
Source: Alexandria via LeMat-Bulk
Functional: PBE
Structure: optimized geometry

## Properties
Formation energy (no corrections) = -42 kJ/mol of atoms
Fermi-level density of states = 1.229 states/eV per cell
V = 129.57 Å³/f.u.

Unit cell a=4.553 b=4.553 c=6.249 alpha=90.00 beta=90.00 gamma=90.00
Fractional positions:
Na 0.000 0.000 0.000
Bi 0.500 0.500 0.500
Te 0.000 0.000 0.500
Te 0.500 0.500 0.000

---

> Look up the V of the fifth one.

78.73 Å³/f.u.

---

> Look up the Fermi-level density of states of the fourth one.

4.371 states/eV per cell